No. 1
DFT (PBE) results for Sr3MgBr after structural relaxation.

Cell lengths 6.025, 6.025, 6.025 Å; angles 90.00, 90.00, 90.00 degrees
Sites, in units of the cell vectors:
Sr (0.000, 0.000, 0.500)
Sr (0.000, 0.500, 0.000)
Sr (0.500, 0.000, 0.000)
Mg (0.500, 0.500, 0.500)
Br (0.000, 0.000, 0.000)

Summary:
* E_form (uncorrected): -0.3653 eV per atom
* total magnetic moment: 0.0001 μB per atom
* space group: No. 221
* theoretical density: 2.79 g/cm³

No. 2
DFT (PBE) results for LiCo2P after structural relaxation.

Cell lengths 2.705, 2.705, 22.633 Å; angles 90.00, 90.00, 120.00 degrees
Sites, in units of the cell vectors:
Li (0.000, 0.000, 0.000)
Li (0.333, 0.667, 0.667)
Li (0.667, 0.333, 0.333)
Co (0.000, 0.000, 0.237)
Co (0.000, 0.000, 0.763)
Co (0.333, 0.667, 0.429)
Co (0.333, 0.667, 0.904)
Co (0.667, 0.333, 0.096)
Co (0.667, 0.333, 0.571)
P (0.000, 0.000, 0.500)
P (0.333, 0.667, 0.167)
P (0.667, 0.333, 0.833)

Summary:
* total magnetic moment: 0.3155 μB per atom
* space group: No. 166
* theoretical density: 5.41 g/cm³
* energy of formation: -20 meV per atom

Repeat the second record exactly.
DFT (PBE) results for LiCo2P after structural relaxation.

Cell lengths 2.705, 2.705, 22.633 Å; angles 90.00, 90.00, 120.00 degrees
Sites, in units of the cell vectors:
Li (0.000, 0.000, 0.000)
Li (0.333, 0.667, 0.667)
Li (0.667, 0.333, 0.333)
Co (0.000, 0.000, 0.237)
Co (0.000, 0.000, 0.763)
Co (0.333, 0.667, 0.429)
Co (0.333, 0.667, 0.904)
Co (0.667, 0.333, 0.096)
Co (0.667, 0.333, 0.571)
P (0.000, 0.000, 0.500)
P (0.333, 0.667, 0.167)
P (0.667, 0.333, 0.833)

Summary:
* total magnetic moment: 0.3155 μB per atom
* space group: No. 166
* theoretical density: 5.41 g/cm³
* energy of formation: -20 meV per atom

Q: Among the records above, which one has the highest theoretical density?
A: LiCo2P